Here is KHfSc after structural relaxation from Alexandria. Energies are from PBE.

Values from the calculation:
energy above the most stable polymorph in this dataset	741	meV per atom
formation energy	0.993	eV per atom

a b c (Å): 5.8717 5.8717 2.9581
angles (deg): 90.00 90.00 120.00
Last column: nearest neighbours and their distance in Å.
Atoms (fractional coordinates):
K: 0.6667 0.3333 0.5000  2 K 2.96
Sc: 0.0000 0.0000 0.0000  2 Sc 2.96
Hf: 0.3333 0.6667 0.0000  2 Hf 2.96